Below is an optimized crystal structure of Pu2GaCo5Si2, with properties calculated at the PBE level.

Energy relative to the elements, uncorrected (meV/atom): -261
Crystal system: tetragonal
Total energy (eV/atom): -8.067

a = 10.0206 Å, b = 10.0206 Å, c = 2.7947 Å
α = 90.00°, β = 90.00°, γ = 90.00°
Space group P4/mbm (No. 127)
One atom of each set of equivalent atoms:
Pu (0.1759, 0.3241, 0.0000) (multiplicity 4)
Ga (0.0000, 0.0000, 0.0000) (multiplicity 2)
Co (0.0000, 0.5000, 0.5000) (multiplicity 2)
Co (0.0519, 0.7982, 0.5000) (multiplicity 8)
Si (0.1283, 0.6283, 0.0000) (multiplicity 4)